Record 1
Density functional theory data (PBE) for an optimized crystal structure of LiEuDyNi.

E_form: -0.02 eV/atom
crystal system: cubic
SG: F-43m (216)
calculated total energy: -90.60 eV for the cell shown

Cell and atoms, written as POSCAR:
```
LiEuDyNi
1.0
7.0922 0.0000 0.0000
0.0000 7.0922 0.0000
0.0000 0.0000 7.0922
Li Eu Dy Ni
4 4 4 4
direct
0.0000 0.0000 0.0000
0.0000 0.5000 0.5000
0.5000 0.0000 0.5000
0.5000 0.5000 0.0000
0.2500 0.2500 0.7500
0.2500 0.7500 0.2500
0.7500 0.2500 0.2500
0.7500 0.7500 0.7500
0.2500 0.2500 0.2500
0.2500 0.7500 0.7500
0.7500 0.2500 0.7500
0.7500 0.7500 0.2500
0.0000 0.0000 0.5000
0.0000 0.5000 0.0000
0.5000 0.0000 0.0000
0.5000 0.5000 0.5000
```

***

Record 2
Density functional theory data (PBE) for an optimized crystal structure of CdCo2Ru.

E_form: 0.34 eV/atom
crystal system: monoclinic
SG: Pm (6)
calculated total energy: -23.03 eV for the cell shown

Cell and atoms, written as POSCAR:
```
CdCo2Ru
1.0
2.6976 0.0000 0.0000
0.0000 4.0863 0.0000
-1.3377 0.0000 5.0575
Cd Co Ru
1 2 1
direct
0.0000 0.0000 0.0000
0.6247 0.5000 0.2491
0.7392 0.0000 0.4818
0.3376 0.5000 0.6788
```

***

Record 3
Density functional theory data (PBE) for an optimized crystal structure of GaPtBr.

offset from the most stable computed form: 115.8 meV/atom
formation energy (no corrections): -408 meV per atom
crystal system: triclinic
SG: P-1 (2)
calculated total energy: -23.93 eV for the cell shown

Cell and atoms, written as POSCAR:
```
GaPtBr
1.0
3.6988 0.0000 0.0000
-0.1618 4.4241 0.0000
-1.7498 -0.4527 9.1087
Ga Pt Br
2 2 2
direct
0.1951 0.0033 0.3791
0.8049 0.9967 0.6209
0.3027 0.3713 0.5939
0.6973 0.6287 0.4061
0.3415 0.2785 0.1684
0.6585 0.7215 0.8316
```

***

Record 4
Density functional theory data (PBE) for an optimized crystal structure of Nd6Dy2Ho5.

E_form: 0.10 eV/atom
crystal system: orthorhombic
SG: Pbam (55)
calculated total energy: -118.74 eV for the cell shown

Cell and atoms, written as POSCAR:
```
Nd6Dy2Ho5
1.0
11.7202 0.0000 0.0000
0.0000 20.5693 0.0000
0.0000 0.0000 3.6244
Nd Dy Ho
12 4 10
direct
0.0599 0.0798 0.0000
0.0826 0.3668 0.0000
0.1736 0.6338 0.5000
0.3264 0.1338 0.5000
0.4174 0.8668 0.0000
0.4401 0.5798 0.0000
0.5599 0.4202 0.0000
0.5826 0.1332 0.0000
0.6736 0.8662 0.5000
0.8264 0.3662 0.5000
0.9174 0.6332 0.0000
0.9401 0.9202 0.0000
0.1658 0.7890 0.0000
0.3342 0.2890 0.0000
0.6658 0.7110 0.0000
0.8342 0.2110 0.0000
0.0000 0.5000 0.5000
0.0930 0.2259 0.5000
0.1986 0.9442 0.5000
0.3014 0.4442 0.5000
0.4070 0.7259 0.5000
0.5000 0.0000 0.5000
0.5930 0.2741 0.5000
0.6986 0.5558 0.5000
0.8014 0.0558 0.5000
0.9070 0.7741 0.5000
```

***

Record 5
Density functional theory data (PBE) for an optimized crystal structure of LiAl2Tl2.

offset from the most stable computed form: 43.7 meV/atom
E_form: 0.15 eV/atom
crystal system: tetragonal
SG: P4/mbm (127)
calculated total energy: -26.75 eV for the cell shown

Cell and atoms, written as POSCAR:
```
LiAl2Tl2
1.0
7.8403 0.0000 0.0000
0.0000 7.8403 0.0000
0.0000 0.0000 3.8313
Li Al Tl
2 4 4
direct
0.0000 0.0000 0.0000
0.5000 0.5000 0.0000
0.1195 0.3805 0.0000
0.3805 0.8805 0.0000
0.6195 0.1195 0.0000
0.8805 0.6195 0.0000
0.1828 0.6828 0.5000
0.3172 0.1828 0.5000
0.6828 0.8172 0.5000
0.8172 0.3172 0.5000
```

***

Record 6
Density functional theory data (PBE) for an optimized crystal structure of Tb3NpRu3.

E_form: -0.21 eV/atom
crystal system: monoclinic
SG: C2/m (12)
calculated total energy: -112.27 eV for the cell shown

Cell and atoms, written as POSCAR:
```
Tb3NpRu3
1.0
6.0098 -1.9894 0.0000
6.0098 1.9894 0.0000
-5.8093 0.0000 13.2901
Tb Np Ru
6 2 6
direct
0.0331 0.0331 0.2977
0.1780 0.1780 0.5712
0.3723 0.3723 0.8644
0.6277 0.6277 0.1356
0.8220 0.8220 0.4288
0.9669 0.9669 0.7023
0.3334 0.3334 0.1049
0.6666 0.6666 0.8951
0.0864 0.0864 0.9603
0.3195 0.3195 0.2577
0.4598 0.4598 0.5685
0.5402 0.5402 0.4315
0.6805 0.6805 0.7423
0.9136 0.9136 0.0397
```

***

Record 7
Density functional theory data (PBE) for an optimized crystal structure of Mn2NiOs.

E_form: 0.08 eV/atom
crystal system: orthorhombic
SG: Cmmm (65)
calculated total energy: -70.08 eV for the cell shown

Cell and atoms, written as POSCAR:
```
Mn2NiOs
1.0
5.1389 0.0000 0.0000
0.0000 7.1894 0.0000
0.0000 0.0000 2.6196
Mn Ni Os
4 2 2
direct
0.2500 0.2500 0.0000
0.2500 0.7500 0.0000
0.7500 0.2500 0.0000
0.7500 0.7500 0.0000
0.0000 0.0000 0.5000
0.5000 0.5000 0.5000
0.0000 0.5000 0.5000
0.5000 0.0000 0.5000
```

***

Record 8
Density functional theory data (PBE) for an optimized crystal structure of AcTb3In4.

E_form: -0.43 eV/atom
crystal system: orthorhombic
SG: Pmma (51)
calculated total energy: -64.85 eV for the cell shown

Cell and atoms, written as POSCAR:
```
AcTb3In4
1.0
10.9962 0.0000 0.0000
0.0000 7.4347 0.0000
0.0000 0.0000 5.6347
Ac Tb In
2 6 8
direct
0.0000 0.0000 0.0000
0.5000 0.0000 0.0000
0.0000 0.5000 0.0000
0.2500 0.0000 0.4395
0.2500 0.5000 0.4157
0.5000 0.5000 0.0000
0.7500 0.0000 0.5605
0.7500 0.5000 0.5843
0.0000 0.2693 0.5000
0.0000 0.7307 0.5000
0.2500 0.2687 0.9108
0.2500 0.7313 0.9108
0.5000 0.2693 0.5000
0.5000 0.7307 0.5000
0.7500 0.2687 0.0892
0.7500 0.7313 0.0892
```

***

Record 9
Density functional theory data (PBE) for an optimized crystal structure of Co19Si8B4.

formation energy (no corrections): -427 meV per atom
crystal system: monoclinic
SG: C2 (5)
calculated total energy: -218.34 eV for the cell shown

Cell and atoms, written as POSCAR:
```
Co19Si8B4
1.0
4.7876 -4.2915 0.0000
4.7876 4.2915 0.0000
-3.7367 0.0000 7.5932
Co Si B
19 8 4
direct
0.1410 0.7028 0.8377
0.1432 0.4470 0.0226
0.1488 0.4480 0.5217
0.1492 0.7010 0.3347
0.2972 0.8590 0.1623
0.2989 0.2906 0.2706
0.2986 0.2986 0.7765
0.2990 0.8508 0.6653
0.5522 0.2972 0.5895
0.5520 0.8512 0.4783
0.5533 0.2915 0.0856
0.5530 0.8568 0.9774
0.7014 0.7014 0.2235
0.7028 0.4478 0.4105
0.7085 0.4467 0.9144
0.7094 0.7011 0.7294
0.9240 0.0738 0.7172
0.9256 0.0744 0.0000
0.9262 0.0760 0.2828
0.2472 0.0744 0.4843
0.2478 0.0748 0.9464
0.6017 0.0741 0.7863
0.6056 0.0742 0.3243
0.9252 0.7522 0.0536
0.9258 0.3944 0.6757
0.9259 0.3983 0.2137
0.9256 0.7528 0.5157
0.4230 0.5717 0.2458
0.4236 0.5764 0.0000
0.4273 0.5727 0.5000
0.4283 0.5770 0.7542
```

***

Record 10
Density functional theory data (PBE) for an optimized crystal structure of ScBeReBi2.

E_form: 0.71 eV/atom
crystal system: tetragonal
SG: P4/mmm (123)
calculated total energy: -26.74 eV for the cell shown

Cell and atoms, written as POSCAR:
```
ScBeReBi2
1.0
5.3522 0.0000 0.0000
0.0000 5.3522 0.0000
0.0000 0.0000 4.3111
Sc Be Re Bi
1 1 1 2
direct
0.0000 0.0000 0.0000
0.5000 0.5000 0.0000
0.5000 0.5000 0.5000
0.0000 0.5000 0.5000
0.5000 0.0000 0.5000
```

***

Record 11
Density functional theory data (PBE) for an optimized crystal structure of RbCeAgF6.

formation energy (no corrections): -2950 meV per atom
crystal system: triclinic
SG: P1 (1)
calculated total energy: -47.53 eV for the cell shown

Cell and atoms, written as POSCAR:
```
RbCeAgF6
1.0
5.7338 0.0000 0.0000
0.0637 6.2610 0.0000
0.0059 3.0941 5.5201
Rb Ce Ag F
1 1 1 6
direct
0.0000 0.0000 0.0000
0.5004 0.6672 0.6614
0.4997 0.3344 0.3263
0.2810 0.9574 0.6508
0.2944 0.6470 0.3788
0.2960 0.3841 0.9542
0.7014 0.9691 0.3779
0.7126 0.6593 0.9501
0.7175 0.3876 0.6451
```

***

Record 12
Density functional theory data (PBE) for an optimized crystal structure of CsCuPb2Cl8.

formation energy (no corrections): -972 meV per atom
crystal system: monoclinic
SG: P2/m (10)
calculated total energy: -38.81 eV for the cell shown

Cell and atoms, written as POSCAR:
```
CsCuPb2Cl8
1.0
6.7590 0.0000 0.0000
0.0000 8.9701 0.0000
-1.2843 0.0000 6.7237
Cs Cu Pb Cl
1 1 2 8
direct
0.0000 0.0000 0.0000
0.0000 0.5000 0.0000
0.5000 0.2691 0.5000
0.5000 0.7309 0.5000
0.2238 0.3239 0.1290
0.2238 0.6761 0.1290
0.2787 0.5000 0.6297
0.3075 0.0000 0.6338
0.6925 0.0000 0.3662
0.7213 0.5000 0.3703
0.7762 0.3239 0.8710
0.7762 0.6761 0.8710
```